CdBRh3: relaxed, PBE.

Cell lengths 7.0806, 5.5001, 8.5014 Å; angles 90.00, 117.62, 90.00 degrees
Atoms (fractional coordinates):
Cd  0.1078  0.1724  0.1408
Cd  0.1078  0.3276  0.6408
Cd  0.8922  0.6724  0.3592
Cd  0.8922  0.8276  0.8592
B  0.4411  0.7476  0.9002
B  0.4411  0.7524  0.4002
B  0.5589  0.2476  0.5998
B  0.5589  0.2524  0.0998
Rh  0.1479  0.6648  0.1979
Rh  0.1479  0.8352  0.6979
Rh  0.2983  0.0278  0.4862
Rh  0.2983  0.4722  0.9862
Rh  0.4615  0.5919  0.6415
Rh  0.4615  0.9081  0.1415
Rh  0.5385  0.0919  0.8585
Rh  0.5385  0.4081  0.3585
Rh  0.7017  0.5278  0.0138
Rh  0.7017  0.9722  0.5138
Rh  0.8521  0.1648  0.3021
Rh  0.8521  0.3352  0.8021

Calculated values
Polymorph energy (0 for the lowest one) ... 142 meV/atom
Volume ... 14.67 Å³/atom
E_form ... -0.343 eV/f.u.
Energy ... -5.998 eV/atom

PuZn2HO6: relaxed, PBE.

Cell lengths 4.4705, 5.4814, 8.9637 Å; angles 90.00, 90.00, 90.00 degrees
Atoms (fractional coordinates):
Pu  0.0000  0.0000  0.0000
Pu  0.5000  0.5000  0.5000
Zn  0.0000  0.5000  0.1732
Zn  0.0000  0.5000  0.8268
Zn  0.5000  0.0000  0.3268
Zn  0.5000  0.0000  0.6732
H  0.0000  0.0000  0.5000
H  0.5000  0.5000  0.0000
O  0.2346  0.1293  0.5000
O  0.2366  0.1456  0.1570
O  0.2366  0.1456  0.8430
O  0.2634  0.6456  0.3430
O  0.2634  0.6456  0.6570
O  0.2654  0.6293  0.0000
O  0.7346  0.3707  0.0000
O  0.7366  0.3544  0.3430
O  0.7366  0.3544  0.6570
O  0.7634  0.8544  0.1570
O  0.7634  0.8544  0.8430
O  0.7654  0.8707  0.5000

Calculated values
Volume ... 10.98 Å³/atom
Energy ... -6.589 eV/atom

AlCdIn: relaxed, PBE.

Cell lengths 5.6259, 5.6259, 5.6259 Å; angles 147.35, 135.27, 56.47 degrees
Atoms (fractional coordinates):
Al  0.0000  0.0000  0.0000
Cd  0.6518  0.6518  0.0000
In  0.3306  0.3306  0.0000

Calculated values
Volume ... 22.37 Å³/atom
E_form ... 0.434 eV/f.u.
Energy ... -2.321 eV/atom

Mn2Cd: relaxed, PBE.

Cell lengths 5.2532, 5.2532, 5.2532 Å; angles 105.84, 105.84, 117.02 degrees
Atoms (fractional coordinates):
Mn  0.1492  0.6492  0.7984
Mn  0.3508  0.1492  0.5000
Mn  0.6492  0.8508  0.5000
Mn  0.8508  0.3508  0.2016
Cd  0.2500  0.2500  0.0000
Cd  0.7500  0.7500  0.0000

Calculated values
Volume ... 18.35 Å³/atom
E_form ... 2.131 eV/f.u.
Energy ... -5.708 eV/atom

Nd2Sm5Ho3: relaxed, PBE.

Cell lengths 9.6036, 9.6036, 9.5777 Å; angles 108.46, 108.46, 111.25 degrees
Atoms (fractional coordinates):
Nd  0.0178  0.2658  0.0499
Nd  0.2658  0.0178  0.5499
Nd  0.7342  0.9822  0.4501
Nd  0.9822  0.7342  0.9501
Sm  0.1523  0.3858  0.7836
Sm  0.2311  0.7689  0.7500
Sm  0.2714  0.7286  0.2500
Sm  0.3858  0.1523  0.2836
Sm  0.4685  0.5315  0.2500
Sm  0.5315  0.4685  0.7500
Sm  0.6142  0.8477  0.7164
Sm  0.7286  0.2714  0.7500
Sm  0.7689  0.2311  0.2500
Sm  0.8477  0.6142  0.2164
Ho  0.0238  0.9762  0.7500
Ho  0.2219  0.4613  0.4544
Ho  0.4613  0.2219  0.9544
Ho  0.5387  0.7781  0.0456
Ho  0.7781  0.5387  0.5456
Ho  0.9762  0.0238  0.2500

Calculated values
Polymorph energy (0 for the lowest one) ... 0 meV/atom
Volume ... 34.08 Å³/atom
E_form ... 1.896 eV/f.u.
Energy ... -4.497 eV/atom

ZnIn2Re: relaxed, PBE.

Cell lengths 5.1010, 5.1010, 2.8742 Å; angles 90.00, 90.00, 90.00 degrees
Atoms (fractional coordinates):
Zn  0.0000  0.0000  0.0000
In  0.0000  0.5000  0.5000
In  0.5000  0.0000  0.5000
Re  0.5000  0.5000  0.0000

Calculated values
Volume ... 18.70 Å³/atom
E_form ... 1.918 eV/f.u.
Energy ... -4.320 eV/atom

TlCdPb2: relaxed, PBE.

Cell lengths 3.4576, 5.4006, 6.4615 Å; angles 90.00, 99.46, 90.00 degrees
Atoms (fractional coordinates):
Tl  0.0000  0.0000  0.0000
Cd  0.5000  0.0000  0.5000
Pb  0.3171  0.5000  0.7372
Pb  0.6829  0.5000  0.2628

Calculated values
Polymorph energy (0 for the lowest one) ... 25 meV/atom
Volume ... 29.75 Å³/atom
E_form ... 0.168 eV/f.u.
Energy ... -2.633 eV/atom

LaDy2Ho2Tm: relaxed, PBE.

Cell lengths 6.9128, 16.0799, 3.5223 Å; angles 90.00, 90.00, 90.00 degrees
Atoms (fractional coordinates):
La  0.0000  0.0000  0.0000
La  0.5000  0.5000  0.5000
Dy  0.2482  0.3425  0.0000
Dy  0.2518  0.8425  0.5000
Dy  0.7482  0.1575  0.5000
Dy  0.7518  0.6575  0.0000
Ho  0.2493  0.6567  0.0000
Ho  0.2507  0.1567  0.5000
Ho  0.7493  0.8433  0.5000
Ho  0.7507  0.3433  0.0000
Tm  0.0000  0.5000  0.5000
Tm  0.5000  0.0000  0.0000

Calculated values
Volume ... 32.63 Å³/atom
E_form ... 1.002 eV/f.u.
Energy ... -4.459 eV/atom

Pm2Ru2C3: relaxed, PBE.

Cell lengths 5.6964, 5.6964, 6.4974 Å; angles 121.96, 121.96, 36.59 degrees
Atoms (fractional coordinates):
Pm  0.0712  0.0712  0.3358
Pm  0.9288  0.9288  0.6642
Ru  0.2975  0.2975  0.9060
Ru  0.7025  0.7025  0.0940
C  0.3046  0.3046  0.2571
C  0.5000  0.5000  0.0000
C  0.6954  0.6954  0.7429

Calculated values
Polymorph energy (0 for the lowest one) ... 0 meV/atom
Volume ... 14.90 Å³/atom
E_form ... -0.821 eV/f.u.
Energy ... -8.078 eV/atom

KFeTe2I: relaxed, PBE.

Cell lengths 5.0125, 5.0125, 6.2084 Å; angles 90.00, 90.00, 90.00 degrees
Atoms (fractional coordinates):
K  0.0000  0.0000  0.0000
Fe  0.5000  0.5000  0.5000
Te  0.0000  0.5000  0.5000
Te  0.5000  0.0000  0.5000
I  0.5000  0.5000  0.0000

Calculated values
Volume ... 31.20 Å³/atom
Energy ... -3.612 eV/atom

RbSrCo2: relaxed, PBE.

Cell lengths 5.4142, 5.4142, 5.4142 Å; angles 60.00, 60.00, 60.00 degrees
Atoms (fractional coordinates):
Rb  0.0000  0.0000  0.0000
Sr  0.5000  0.5000  0.5000
Co  0.2500  0.2500  0.2500
Co  0.7500  0.7500  0.7500

Calculated values
Polymorph energy (0 for the lowest one) ... 0 meV/atom
Volume ... 28.06 Å³/atom
E_form ... 4.803 eV/f.u.
Energy ... -3.014 eV/atom

DyHo2Te4: relaxed, PBE.

Cell lengths 7.4390, 7.4390, 14.8963 Å; angles 90.00, 90.00, 146.99 degrees
Atoms (fractional coordinates):
Dy  0.1284  0.8716  0.7500
Dy  0.8716  0.1284  0.2500
Ho  0.3688  0.6312  0.5695
Ho  0.3688  0.6312  0.9305
Ho  0.6312  0.3688  0.0695
Ho  0.6312  0.3688  0.4305
Te  0.0000  0.0000  0.0000
Te  0.0000  0.0000  0.5000
Te  0.2785  0.7215  0.1219
Te  0.2785  0.7215  0.3781
Te  0.4691  0.5309  0.7500
Te  0.5309  0.4691  0.2500
Te  0.7215  0.2785  0.6219
Te  0.7215  0.2785  0.8781

Calculated values
Polymorph energy (0 for the lowest one) ... 44 meV/atom
Volume ... 32.08 Å³/atom
Energy ... -5.090 eV/atom

LiNdErPb: relaxed, PBE.

Cell lengths 5.3493, 5.3493, 5.3493 Å; angles 60.00, 60.00, 60.00 degrees
Atoms (fractional coordinates):
Li  0.0000  0.0000  0.0000
Nd  0.2500  0.2500  0.2500
Er  0.7500  0.7500  0.7500
Pb  0.5000  0.5000  0.5000

Calculated values
Volume ... 27.06 Å³/atom
E_form ... -1.111 eV/f.u.
Energy ... -4.016 eV/atom